# YSc5Rh6

YSc5Rh6 after structural relaxation (PBE, Alexandria).

Results
As for the raw total energy: -7.828 eV per atom. Its formation energy is -0.98 eV/atom.

```
YSc5Rh6
1.0
2.3096 -6.9328 0.0000
2.3096 6.9328 0.0000
0.0000 0.0000 6.5246
Y Sc Rh
1 5 6
Direct
0.0000 0.0000 0.0000 Y
0.0000 0.0000 0.5000 Sc
0.3308 0.6692 0.0000 Sc
0.3331 0.6669 0.5000 Sc
0.6669 0.3331 0.5000 Sc
0.6692 0.3308 0.0000 Sc
0.1699 0.8301 0.2544 Rh
0.1699 0.8301 0.7456 Rh
0.5000 0.5000 0.2599 Rh
0.5000 0.5000 0.7401 Rh
0.8301 0.1699 0.2544 Rh
0.8301 0.1699 0.7456 Rh
```


# YSc5Rh4

YSc5Rh4 after structural relaxation (PBE, Alexandria).

Results
As for the raw total energy: -7.551 eV per atom. Its formation energy is -0.80 eV/atom.

```
YSc5Rh4
1.0
3.2283 0.0000 0.0000
0.0000 3.2283 0.0000
0.0000 0.0000 18.2998
Y Sc Rh
1 5 4
Direct
0.0000 0.0000 0.0000 Y
0.5000 0.5000 0.1467 Sc
0.5000 0.5000 0.3221 Sc
0.5000 0.5000 0.5000 Sc
0.5000 0.5000 0.6779 Sc
0.5000 0.5000 0.8533 Sc
0.0000 0.0000 0.2316 Rh
0.0000 0.0000 0.4109 Rh
0.0000 0.0000 0.5891 Rh
0.0000 0.0000 0.7684 Rh
```


# YScRh2

YScRh2 after structural relaxation (PBE, Alexandria).

Results
As for the raw total energy: -7.455 eV per atom. Its formation energy is -0.58 eV/atom.

```
YScRh2
1.0
3.7233 0.0000 0.0000
0.0000 3.7233 0.0000
0.0000 0.0000 5.7617
Y Sc Rh
1 1 2
Direct
0.0000 0.0000 0.0000 Y
0.5000 0.5000 0.6161 Sc
0.0000 0.0000 0.4985 Rh
0.5000 0.5000 0.1512 Rh
```


# Y3ScRh2

Y3ScRh2 after structural relaxation (PBE, Alexandria).

Results
As for the raw total energy: -7.314 eV per atom. Its formation energy is -0.58 eV/atom.

```
Y3ScRh2
1.0
4.1285 0.0000 0.0000
0.0000 4.6767 0.0000
0.0000 0.0000 14.6448
Y Sc Rh
6 2 4
Direct
0.0000 0.0000 0.0000 Y
0.0000 0.5000 0.3154 Y
0.0000 0.5000 0.6846 Y
0.5000 0.0000 0.1846 Y
0.5000 0.0000 0.8154 Y
0.5000 0.5000 0.5000 Y
0.0000 0.0000 0.5000 Sc
0.5000 0.5000 0.0000 Sc
0.0000 0.5000 0.1257 Rh
0.0000 0.5000 0.8743 Rh
0.5000 0.0000 0.3743 Rh
0.5000 0.0000 0.6257 Rh
```


# Y3ScRh

Y3ScRh after structural relaxation (PBE, Alexandria).

Results
As for the raw total energy: -5.599 eV per atom. Its formation energy is 1.02 eV/atom.

```
Y3ScRh
1.0
5.2387 0.0000 0.0000
0.0000 5.2387 0.0000
0.0000 0.0000 5.2387
Y Sc Rh
3 1 1
Direct
0.0000 0.0000 0.5000 Y
0.0000 0.5000 0.0000 Y
0.5000 0.0000 0.0000 Y
0.0000 0.0000 0.0000 Sc
0.5000 0.5000 0.5000 Rh
```


# YScRh

YScRh after structural relaxation (PBE, Alexandria).

Results
As for the raw total energy: -6.429 eV per atom. Its formation energy is 0.29 eV/atom.

```
YScRh
1.0
6.5449 0.0000 0.0000
0.0000 6.5449 0.0000
0.0000 0.0000 6.5449
Y Sc Rh
4 4 4
Direct
0.0000 0.0000 0.0000 Y
0.0000 0.5000 0.5000 Y
0.5000 0.0000 0.5000 Y
0.5000 0.5000 0.0000 Y
0.2500 0.2500 0.7500 Sc
0.2500 0.7500 0.2500 Sc
0.7500 0.2500 0.2500 Sc
0.7500 0.7500 0.7500 Sc
0.2500 0.2500 0.2500 Rh
0.2500 0.7500 0.7500 Rh
0.7500 0.2500 0.7500 Rh
0.7500 0.7500 0.2500 Rh
```


Looking at magnetization for the records above, in order, we have 0.0000; 0.0000; 0.0000; 0.0000; 0.2099; 0.0000 μB per atom.